Li4Ti2Nb3V3O16 | GGA+U | relaxed

- Calculated density: 4.351 Mg/m³
- VASP energy: -7.923 eV/atom

Unit cell a=6.0517 b=6.0517 c=9.8443 alpha=89.65 beta=89.65 gamma=59.15
Closest atoms and distances in Å follow each position.
Sites, in units of the cell vectors:
1 Li 0.6670 0.6670 0.9019  4 O 1.93-2.00
2 Li 0.0062 0.0062 0.9910  2 O 1.82-2.01
3 Li 0.0019 0.0019 0.4920  3 O 1.83-2.01
4 Li 0.3393 0.3393 0.3899  4 O 1.89-2.03
5 Ti 0.6550 0.6550 0.4971  4 O 1.90-2.04
6 Ti 0.3316 0.3316 0.0021  3 O 1.90-1.94
7 Nb 0.8281 0.8281 0.2256  6 O 1.95-2.16
8 Nb 0.1783 0.6315 0.7173  5 O 1.97-2.18
9 Nb 0.6315 0.1783 0.7173  5 O 1.97-2.18
10 V 0.3522 0.8229 0.2101  6 O 2.04-2.16
11 V 0.8229 0.3522 0.2101  6 O 2.04-2.16
12 V 0.1697 0.1697 0.7109  6 O 2.02-2.17
13 O 0.3371 0.8182 0.5937  1 Ti 1.90, 1 Li 2.01
14 O 0.5282 0.5282 0.3491  1 Ti 1.98, 1 Li 2.03, 2 V 2.06
15 O 0.6811 0.6811 0.0974  1 Li 1.93, 1 Nb 2.00, 2 V 2.04
16 O 0.0011 0.0011 0.3057  1 Li 1.83, 1 Nb 1.99, 2 V 2.05
17 O 0.9991 0.9991 0.8061  1 Li 1.82, 1 V 2.02
18 O 0.8182 0.3371 0.5937  1 Ti 1.90, 1 Li 2.01
19 O 0.5240 0.9691 0.3423  1 Nb 1.95, 1 Li 1.98, 1 V 2.13
20 O 0.9691 0.5240 0.3423  1 Nb 1.95, 1 Li 1.98, 1 V 2.13
21 O 0.1717 0.1717 0.0918  1 Ti 1.90, 1 Li 2.01
22 O 0.8261 0.8261 0.5929  1 Ti 2.04, 1 Li 2.09, 2 Nb 2.21
23 O 0.0373 0.4863 0.8468  1 Nb 1.97, 1 Li 2.00, 1 V 2.13, 1 Ti 2.17
24 O 0.4863 0.0373 0.8468  1 Nb 1.97, 1 Li 2.00, 1 V 2.13, 1 Ti 2.17
25 O 0.3258 0.3258 0.5816  1 Li 1.89, 1 V 2.07, 2 Nb 2.08
26 O 0.1668 0.6589 0.0972  1 Ti 1.94, 1 Li 2.09, 1 V 2.16, 1 Nb 2.16
27 O 0.4843 0.4843 0.8582  1 Li 1.97, 2 Nb 2.11, 1 Ti 2.14
28 O 0.6589 0.1668 0.0972  1 Ti 1.94, 1 Li 2.09, 1 V 2.16, 1 Nb 2.16